CePmTlGe (PBE, relaxed); space-group type = F-43m (216); energy of formation = -0.403 eV/atom
1.0
-4.276 -3.195 0.103
-1.894 -2.072 -4.541
0.543 -5.219 -0.983
Ge Ce Tl Pm
1 1 1 1
direct
0.250 0.250 0.250
0.000 0.000 0.000
0.750 0.750 0.750
0.500 0.500 0.500